Record 1
## NbZnSeBr2 (SCAN)

Data for a crystal of NbZnSeBr2 relaxed with PBEsol.

CIF file:
```
data_NbZnSeBr2
_cell_length_a 4.866
_cell_length_b 4.866
_cell_length_c 4.989
_cell_angle_alpha 90.00
_cell_angle_beta 90.00
_cell_angle_gamma 90.00
_space_group_name_H-M_alt 'P 4/m m m'
_space_group_IT_number 123
_space_group_name_Hall '-P 4 2'
loop_
_atom_site_label
_atom_site_fract_x
_atom_site_fract_y
_atom_site_fract_z
Nb1 0.000 0.000 0.000
Zn1 0.500 0.500 0.500
Se1 0.500 0.500 0.000
Br1 0.000 0.500 0.500
```

DFT total energy: -20.8914 eV/atom
uncorrected formation energy: 0.24 eV/atom



Record 2
## RbBaInI2 (SCAN)

Data for a crystal of RbBaInI2 relaxed with PBEsol.

CIF file:
```
data_RbBaInI2
_cell_length_a 6.369
_cell_length_b 6.369
_cell_length_c 6.254
_cell_angle_alpha 90.00
_cell_angle_beta 90.00
_cell_angle_gamma 90.00
_space_group_name_H-M_alt 'P 4/m m m'
_space_group_IT_number 123
_space_group_name_Hall '-P 4 2'
loop_
_atom_site_label
_atom_site_fract_x
_atom_site_fract_y
_atom_site_fract_z
Rb1 0.000 0.000 0.000
Ba1 0.500 0.500 0.500
In1 0.000 0.000 0.500
I1 0.000 0.500 0.000
```

DFT total energy: -34.0090 eV/atom
uncorrected formation energy: -0.58 eV/atom



Record 3
## ScSbTeI2 (SCAN)

Data for a crystal of ScSbTeI2 relaxed with PBEsol.

CIF file:
```
data_ScSbTeI2
_cell_length_a 5.735
_cell_length_b 5.735
_cell_length_c 5.855
_cell_angle_alpha 90.00
_cell_angle_beta 90.00
_cell_angle_gamma 90.00
_space_group_name_H-M_alt 'P 4/m m m'
_space_group_IT_number 123
_space_group_name_Hall '-P 4 2'
loop_
_atom_site_label
_atom_site_fract_x
_atom_site_fract_y
_atom_site_fract_z
Sc1 0.000 0.000 0.000
Sb1 0.500 0.500 0.000
Te1 0.500 0.500 0.500
I1 0.000 0.500 0.500
```

DFT total energy: -31.9782 eV/atom
energy above the most stable polymorph in this dataset: 661 meV per atom
uncorrected formation energy: 0.47 eV/atom



What is the formula in the second record?
RbBaInI2